! CaMg7Zn5 | Alexandria | PBE | relaxed; values from VASP
! total DFT energy (no corrections) = -1.626 eV per atom
! DOS(E_F) = 4.11 states/eV per cell
! V = 259.4 Å³ per cell
! ΔH_f (0 K) = -0.124 eV per atom
&SYSTEM
  ibrav = 0, nat = 13, ntyp = 3
/
ATOMIC_SPECIES
Ca 40.08 Ca.upf
Mg 24.30 Mg.upf
Zn 65.41 Zn.upf
ATOMIC_POSITIONS angstrom
Ca 2.5182 6.8461 8.4113
Mg 4.2031 2.3968 4.3089
Mg 3.4054 4.5033 6.2512
Mg 5.9564 2.4346 7.3111
Mg 6.7467 4.5079 5.3870
Mg 1.9739 1.5355 2.4653
Mg 4.5782 5.4305 3.3955
Mg 3.0494 1.4192 7.1181
Zn 5.0677 6.8302 5.8429
Zn 7.6205 6.8302 6.8913
Zn 3.7991 3.5016 8.9318
Zn 6.3519 3.5016 9.9802
Zn 5.6285 5.3808 8.1097
CELL_PARAMETERS angstrom
5.1107 0.0000 2.0989
2.5495 6.8524 1.0636
-0.0478 0.0374 7.3880